Here is an optimized crystal structure of Na2Tm2GeO6 from Alexandria. Energies are from PBE.

## Properties
formation energy from raw total energies = -240.0 kJ per mole of atoms
energy = -6.66 eV per atom
space-group type = C2/m
calculated volume = 14.01 Å³/atom

a b c (Å): 5.600 5.600 5.856
angles (deg): 97.34 97.34 119.78
Fractional positions:
1 Tm 0.335 0.665 0.500
2 Tm 0.665 0.335 0.500
3 O 0.352 0.045 0.689
4 O 0.045 0.352 0.689
5 O 0.765 0.765 0.689
6 O 0.235 0.235 0.311
7 O 0.648 0.955 0.311
8 O 0.955 0.648 0.311
9 Na 0.850 0.150 0.000
10 Na 0.150 0.850 0.000
11 Ge 0.000 0.000 0.500